Computed, not measured: a relaxed Sc2TlSb crystal at the GGA-PBE level of DFT.

a b c (Å): 3.904 3.904 8.257
angles (deg): 76.33 76.33 60.00
Positions (direct):
Sc (0.258, 0.258, 0.226)
Sc (0.075, 0.075, 0.775)
Sb (0.668, 0.668, 0.997)
Tl (0.499, 0.499, 0.502)

Summary:
Calculated total energy ... -20.9 eV per cell
Raw formation energy ... -0.44 eV/atom
Size of the total moment ... 0.00 μB per atom